Density functional theory data (PBE) for crystalline YCoRe2 at its relaxed geometry.

It has space group Cmmm (No. 65), with a = 5.2317 Å, b = 9.0881 Å, c = 2.7917 Å, α = 90.00°, β = 90.00° and γ = 90.00°. The distinct sites, in fractional coordinates, are Y at (0.0000, 0.0000, 0.0000), Co at (0.0000, 0.5000, 0.0000) and Re at (0.2500, 0.2500, 0.5000).

Density functional theory data (PBE) for crystalline YCoRe2 at its relaxed geometry.

It has space group P4mm (No. 99), with a = 3.1165 Å, b = 3.1165 Å, c = 6.9858 Å, α = 90.00°, β = 90.00° and γ = 90.00°. The distinct sites, in fractional coordinates, are Y at (0.0000, 0.0000, 0.0000), Co at (0.5000, 0.5000, 0.2865), Re at (0.0000, 0.0000, 0.4887) and Re at (0.5000, 0.5000, 0.6924).

Density functional theory data (PBE) for crystalline Y2CoRe3 at its relaxed geometry.

It has space group R-3m (No. 166, hexagonal axes), with a = 5.2649 Å, b = 5.2649 Å, c = 13.5937 Å, α = 90.00°, β = 90.00° and γ = 120.00°. The distinct sites, in fractional coordinates, are Y at (0.0000, 0.0000, 0.1255), Co at (0.0000, 0.0000, 0.5000) and Re at (0.0000, 0.5000, 0.0000).

no.,total magnetization (μB per formula unit),formation energy from the elements (kcal/mol of atoms)
1,1.1,14.170
2,1.8,3.085
3,1.3,-3.836